LiCaHfHg2 | meta-GGA SCAN | PBEsol geometry

```
LiCaHfHg2
1.0
-0.7652 5.1495 0.2935
-4.4525 -0.4971 -2.8881
-2.8242 -0.6744 4.4701
Ca Hf Hg Li
1 1 2 1
Direct
0.5000 0.5000 0.5000
0.0000 0.0000 0.0000
0.0000 0.0000 0.5000
0.0000 0.5000 0.0000
0.5000 0.0000 0.0000
```

Final energy ... -209.46 eV/cell

In7Pb | meta-GGA SCAN | PBEsol geometry

```
In7Pb
1.0
-3.4391 1.3446 5.5104
-4.8047 -4.1139 1.9976
0.8559 -3.7098 5.4319
In Pb
7 1
Direct
0.0000 0.0000 0.5000
0.0000 0.5000 0.0000
0.5000 0.0000 0.0000
0.5000 0.5000 0.0000
0.5000 0.0000 0.5000
0.0000 0.5000 0.5000
0.5000 0.5000 0.5000
0.0000 0.0000 0.0000
```

Final energy ... -308.92 eV/cell

MgVAs2O7 | meta-GGA SCAN | PBEsol geometry

```
MgVAs2O7
1.0
-6.1302 -3.6003 -3.1430
3.6874 -0.0409 -7.1451
5.4404 -6.9139 2.8472
Mg V As O
4 4 8 28
Direct
0.3897 0.9251 0.1196
0.1103 0.4251 0.3804
0.6103 0.0749 0.8804
0.8897 0.5749 0.6196
0.1125 0.0509 0.2985
0.3875 0.5509 0.2015
0.8875 0.9491 0.7015
0.6125 0.4491 0.7985
0.7010 0.2245 0.2313
0.7990 0.7245 0.2687
0.2990 0.7755 0.7687
0.2010 0.2755 0.7313
0.0694 0.2810 0.0268
0.4306 0.7810 0.4732
0.9306 0.7190 0.9732
0.5694 0.2190 0.5268
0.6907 0.3137 0.9323
0.8093 0.8137 0.5677
0.3093 0.6863 0.0677
0.1907 0.1863 0.4323
0.5791 0.4046 0.2149
0.9209 0.9046 0.2851
0.4209 0.5954 0.7851
0.0791 0.0954 0.7149
0.5936 0.0764 0.1118
0.9064 0.5764 0.3882
0.4064 0.9236 0.8882
0.0936 0.4236 0.6118
0.7376 0.1681 0.4182
0.7624 0.6681 0.0818
0.2624 0.8319 0.5818
0.2376 0.3319 0.9182
0.6833 0.0868 0.6761
0.8167 0.5868 0.8239
0.3167 0.9132 0.3239
0.1833 0.4132 0.1761
0.4172 0.2529 0.7223
0.0828 0.7529 0.7777
0.5828 0.7471 0.2777
0.9172 0.2471 0.2223
0.6732 0.4108 0.6147
0.8268 0.9108 0.8853
0.3268 0.5892 0.3853
0.1732 0.0892 0.1147
```

Formation energy (no corrections) ... -1976 meV per atom
Final energy ... -512.78 eV/cell

TbB2Ru | meta-GGA SCAN | PBEsol geometry

```
TbB2Ru
1.0
-0.7977 -0.4096 -5.2123
4.2978 -3.9602 -0.3465
-4.1739 -4.6174 1.0015
Tb B Ru
4 8 4
Direct
0.7500 0.9917 0.3380
0.7500 0.4917 0.1620
0.2500 0.0083 0.6620
0.2500 0.5083 0.8380
0.9168 0.6310 0.5405
0.5832 0.1310 0.9595
0.4168 0.3690 0.4595
0.0832 0.8690 0.0405
0.0832 0.3690 0.4595
0.4168 0.8690 0.0405
0.5832 0.6310 0.5405
0.9168 0.1310 0.9595
0.7500 0.8180 0.8183
0.7500 0.3180 0.6817
0.2500 0.1820 0.1817
0.2500 0.6820 0.3183
```

Final energy ... -396.32 eV/cell

Q: Look up the final energy of the second one.
A: -308.92 eV/cell